4
Lattice="4.3909 -0.0450 -0.0009 3.4891 2.6662 -0.0009 0.7994 0.2659 7.2589" Properties=species:S:1:pos:R:3 comment="GGA-PBE KFe2Au, optimized geometry" sg=Cm vol_a3_per_cell=86.1 ef_ev_per_atom=0.516 pbc="T T T"
K 4.3580 1.4496 3.6389
Fe 0.8327 0.2770 7.0708
Au 2.2620 0.7524 1.1989
Fe 6.3659 2.1175 6.2359

12
Lattice="7.6728 0.0000 0.0000 0.0000 7.6728 0.0000 -3.8364 -3.8364 6.7621" Properties=species:S:1:pos:R:3 comment="GGA-PBE KAg2PbBr8, optimized geometry" sg=I-4 vol_a3_per_cell=398.1 raw_formation_energy_ev_per_fu=-6.4 pbc="T T T"
Br 2.3453 -1.1642 6.4418
K 3.8364 0.0000 3.3810
Br 5.0007 6.1817 0.3202
Br -2.3453 1.1642 6.4418
Ag 3.8364 3.8364 0.0000
Br 0.4773 -1.3745 3.1186
Br -0.4773 1.3745 3.1186
Br 2.4619 3.3591 3.6435
Br 5.2109 4.3138 3.6435
Br 2.6722 1.4911 0.3202
Ag 0.0000 3.8364 3.3810
Pb 0.0000 0.0000 0.0000